Material: NaTiIn
Method: DFT, PBE
State: relaxed

The structure in POSCAR format:
```
NaTiIn
1.0
8.3513 0.0000 0.0000
0.0000 2.9921 0.0000
0.0000 0.0000 10.6788
Na Ti In
4 4 4
Cartesian
1.3335 0.7480 0.8380
2.8422 2.2441 6.1775
5.5091 0.7480 4.5014
7.0179 2.2441 9.8408
0.4779 0.7480 4.2510
3.6978 2.2441 9.5904
4.6536 0.7480 1.0884
7.8735 2.2441 6.4278
1.2741 0.7480 8.3985
2.9016 2.2441 3.0590
5.4497 0.7480 7.6198
7.0773 2.2441 2.2804
```

D(E_F): 11.48 states/eV per cell
Final energy: -3.887 eV per atom
ρ: 4.622 g cm⁻³
Total moment: 0.00 μB/f.u.
DFT formation energy: 0.098 eV per atom
Energy relative to the lowest polymorph listed for this composition: 0.425 eV per formula unit